# Al2O3, optimized geometry, DFT GGA-PBE
# energy relative to the elements, uncorrected = -2729 meV/atom
data_Al2O3
_cell_length_a 2.677
_cell_length_b 8.943
_cell_length_c 7.041
_cell_angle_alpha 90.00
_cell_angle_beta 90.00
_cell_angle_gamma 90.00
_space_group_name_H-M_alt 'C m c m'
_space_group_IT_number 63
_space_group_name_Hall '-C 2c 2'
loop_
_atom_site_label
_atom_site_fract_x
_atom_site_fract_y
_atom_site_fract_z
Al1 0.000 0.000 0.000
Al2 0.000 0.246 0.250
O1 0.000 0.107 0.750
O2 0.000 0.366 0.578


# ZrGa4Pd7, optimized geometry, DFT GGA-PBE
# formation enthalpy at 0 K = -414 meV/atom
data_ZrGa4Pd7
_cell_length_a 11.477
_cell_length_b 4.816
_cell_length_c 9.092
_cell_angle_alpha 90.00
_cell_angle_beta 125.68
_cell_angle_gamma 90.00
_space_group_name_H-M_alt 'C 1 2/m 1'
_space_group_IT_number 12
_space_group_name_Hall '-C 2y'
loop_
_atom_site_label
_atom_site_fract_x
_atom_site_fract_y
_atom_site_fract_z
Zr1 0.000 0.000 0.000
Ga1 0.079 0.500 0.779
Ga2 0.215 0.500 0.336
Pd1 0.000 0.500 0.000
Pd2 0.067 0.000 0.342
Pd3 0.155 0.500 0.574
Pd4 0.220 0.000 0.884


# RuPb2, optimized geometry, DFT GGA-PBE
# formation enthalpy at 0 K = 324 meV/atom
data_RuPb2
_cell_length_a 3.308
_cell_length_b 18.415
_cell_length_c 4.624
_cell_angle_alpha 90.00
_cell_angle_beta 90.00
_cell_angle_gamma 90.00
_space_group_name_H-M_alt 'C m c m'
_space_group_IT_number 63
_space_group_name_Hall '-C 2c 2'
loop_
_atom_site_label
_atom_site_fract_x
_atom_site_fract_y
_atom_site_fract_z
Ru1 0.000 0.063 0.250
Pb1 0.000 0.302 0.750
Pb2 0.000 0.432 0.250


# HfCdTc4, optimized geometry, DFT GGA-PBE
# formation enthalpy at 0 K = 5 meV/atom
data_HfCdTc4
_cell_length_a 7.403
_cell_length_b 7.403
_cell_length_c 7.403
_cell_angle_alpha 90.00
_cell_angle_beta 90.00
_cell_angle_gamma 90.00
_space_group_name_H-M_alt 'F -4 3 m'
_space_group_IT_number 216
_space_group_name_Hall 'F -4 2 3'
loop_
_atom_site_label
_atom_site_fract_x
_atom_site_fract_y
_atom_site_fract_z
Hf1 0.000 0.000 0.000
Cd1 0.250 0.250 0.250
Tc1 0.125 0.125 0.625


# La4CeBi5, optimized geometry, DFT GGA-PBE
# formation enthalpy at 0 K = -1006 meV/atom
data_La4CeBi5
_cell_length_a 4.689
_cell_length_b 6.628
_cell_length_c 23.442
_cell_angle_alpha 90.00
_cell_angle_beta 90.00
_cell_angle_gamma 90.00
_space_group_name_H-M_alt 'I m m m'
_space_group_IT_number 71
_space_group_name_Hall '-I 2 2'
loop_
_atom_site_label
_atom_site_fract_x
_atom_site_fract_y
_atom_site_fract_z
La1 0.000 0.000 0.100
La2 0.000 0.000 0.301
Ce1 0.000 0.000 0.500
Bi1 0.000 0.500 0.097
Bi2 0.000 0.500 0.300
Bi3 0.000 0.500 0.500


# AcMnBi2, optimized geometry, DFT GGA-PBE
# relative energy among the computed polymorphs = 0.333 eV/atom
# formation enthalpy at 0 K = 202 meV/atom
data_AcMnBi2
_cell_length_a 3.7862
_cell_length_b 3.7862
_cell_length_c 31.5405
_cell_angle_alpha 90.00
_cell_angle_beta 90.00
_cell_angle_gamma 120.00
_space_group_name_H-M_alt 'R -3 m'
_space_group_IT_number 166
_space_group_name_Hall '-R 3 2"'
loop_
_atom_site_label
_atom_site_fract_x
_atom_site_fract_y
_atom_site_fract_z
Ac1 0.0000 0.0000 0.0000
Mn1 0.0000 0.0000 0.5000
Bi1 0.0000 0.0000 0.1092


no.,density of states at the Fermi level (states/eV per atom)
1,0.0000
2,0.3917
3,0.5875
4,1.0373
5,0.6392
6,0.7845